Entry 1:
{
  "formula": "CsTlF3",
  "functional": "meta-GGA SCAN",
  "state": "single point on PBEsol structure",
  "final_energy_ev_per_atom": -26.45,
  "density_g_cm3": 6.348,
  "crystal_system": "cubic",
  "formation_energy_uncorrected_mev_per_atom": -2291.9,
  "m_tot_mub_per_atom": 0.00,
  "lattice_angstrom": [[4.6895, 0.0000, 0.0000], [0.0000, 4.6895, 0.0000], [0.0000, 0.0000, 4.6895]],
  "species": ["Cs", "Tl", "F", "F", "F"],
  "frac_coords": [[0.0000, 0.0000, 0.0000], [0.5000, 0.5000, 0.5000], [0.0000, 0.5000, 0.5000], [0.5000, 0.0000, 0.5000], [0.5000, 0.5000, 0.0000]]
}

=====

Entry 2:
{
  "formula": "ZrSc2Al",
  "functional": "meta-GGA SCAN",
  "state": "single point on PBEsol structure",
  "final_energy_ev_per_atom": -16.92,
  "density_g_cm3": 4.151,
  "ef_ev_per_fu": -0.74,
  "crystal_system": "orthorhombic",
  "m_tot_mub_per_atom": 0.01,
  "lattice_angstrom": [[3.1952, 0.0000, 0.0000], [0.0000, 4.2174, 0.0000], [0.0000, 0.0000, 6.1788]],
  "species": ["Zr", "Sc", "Sc", "Al"],
  "frac_coords": [[0.0000, 0.0000, 0.0000], [0.0000, 0.0000, 0.4881], [0.5000, 0.5000, 0.7537], [0.5000, 0.5000, 0.2424]]
}

=====

Entry 3:
{
  "formula": "ScNiW2",
  "functional": "meta-GGA SCAN",
  "state": "single point on PBEsol structure",
  "final_energy_ev_per_atom": -42.23,
  "density_g_cm3": 12.847,
  "e_above_lowest_polymorph_mev_per_atom": 12.2,
  "ef_ev_per_fu": 0.87,
  "crystal_system": "orthorhombic",
  "m_tot_mub_per_atom": 0.00,
  "lattice_angstrom": [[1.7786, -2.0201, 0.0000], [1.7786, 2.0201, 0.0000], [0.0000, 0.0000, 8.4781]],
  "species": ["Sc", "Ni", "W", "W"],
  "frac_coords": [[0.0000, 0.0000, 0.0000], [0.0000, 0.0000, 0.5000], [0.5000, 0.5000, 0.2804], [0.5000, 0.5000, 0.7196]]
}

=====

Entry 4:
{
  "formula": "ZrMoC2",
  "functional": "meta-GGA SCAN",
  "state": "single point on PBEsol structure",
  "final_energy_ev_per_atom": -21.89,
  "density_g_cm3": 7.792,
  "e_above_lowest_polymorph_mev_per_atom": 0.0,
  "ef_ev_per_fu": -1.78,
  "crystal_system": "trigonal",
  "m_tot_mub_per_atom": 0.00,
  "lattice_angstrom": [[1.5822, 0.9135, 5.1901], [-1.5822, 0.9135, 5.1901], [0.0000, -1.8269, 5.1901]],
  "species": ["Zr", "Mo", "C", "C"],
  "frac_coords": [[0.0000, 0.0000, 0.0000], [0.5000, 0.5000, 0.5000], [0.2446, 0.2446, 0.2446], [0.7554, 0.7554, 0.7554]]
}

=====

Entry 5:
{
  "formula": "Cd2CuOs",
  "functional": "meta-GGA SCAN",
  "state": "single point on PBEsol structure",
  "final_energy_ev_per_atom": -36.55,
  "density_g_cm3": 12.621,
  "ef_ev_per_fu": 1.71,
  "crystal_system": "trigonal",
  "m_tot_mub_per_atom": 0.00,
  "lattice_angstrom": [[1.4143, 0.8165, 9.0877], [-1.4143, 0.8165, 9.0877], [0.0000, -1.6331, 9.0877]],
  "species": ["Cd", "Cd", "Cu", "Os"],
  "frac_coords": [[0.2470, 0.2470, 0.2470], [0.7530, 0.7530, 0.7530], [0.5000, 0.5000, 0.5000], [0.0000, 0.0000, 0.0000]]
}

=====

Entry 6:
{
  "formula": "Ge3RuBr",
  "functional": "meta-GGA SCAN",
  "state": "single point on PBEsol structure",
  "final_energy_ev_per_atom": -20.60,
  "density_g_cm3": 5.537,
  "crystal_system": "cubic",
  "formation_energy_uncorrected_mev_per_atom": 1708.1,
  "m_tot_mub_per_atom": 0.46,
  "lattice_angstrom": [[4.9274, 0.0000, 0.0000], [0.0000, 4.9274, 0.0000], [0.0000, 0.0000, 4.9274]],
  "species": ["Ge", "Ge", "Ge", "Ru", "Br"],
  "frac_coords": [[0.0000, 0.0000, 0.5000], [0.0000, 0.5000, 0.0000], [0.5000, 0.0000, 0.0000], [0.5000, 0.5000, 0.5000], [0.0000, 0.0000, 0.0000]]
}

=====

Entry 7:
{
  "formula": "NbSnSb3",
  "functional": "meta-GGA SCAN",
  "state": "single point on PBEsol structure",
  "final_energy_ev_per_atom": -35.70,
  "density_g_cm3": 6.388,
  "e_above_lowest_polymorph_mev_per_atom": 0.0,
  "crystal_system": "cubic",
  "formation_energy_uncorrected_mev_per_atom": 462.2,
  "m_tot_mub_per_atom": 0.00,
  "lattice_angstrom": [[5.3129, 0.0000, 0.0000], [0.0000, 5.3129, 0.0000], [0.0000, 0.0000, 5.3129]],
  "species": ["Nb", "Sn", "Sb", "Sb", "Sb"],
  "frac_coords": [[0.0000, 0.0000, 0.0000], [0.5000, 0.5000, 0.5000], [0.0000, 0.0000, 0.5000], [0.0000, 0.5000, 0.0000], [0.5000, 0.0000, 0.0000]]
}

=====

Entry 8:
{
  "formula": "MgTeCl2",
  "functional": "meta-GGA SCAN",
  "state": "single point on PBEsol structure",
  "final_energy_ev_per_atom": -15.37,
  "density_g_cm3": 3.652,
  "e_above_lowest_polymorph_mev_per_atom": 0.0,
  "crystal_system": "tetragonal",
  "formation_energy_uncorrected_mev_per_atom": -826.0,
  "m_tot_mub_per_atom": 0.00,
  "lattice_angstrom": [[-3.9722, 3.9722, 3.2103], [3.9722, -3.9722, 3.2103], [3.9722, 3.9722, -3.2103]],
  "species": ["Mg", "Mg", "Te", "Te", "Cl", "Cl", "Cl", "Cl"],
  "frac_coords": [[0.0000, 0.0000, 0.0000], [0.7500, 0.2500, 0.5000], [0.2500, 0.7500, 0.5000], [0.5000, 0.5000, 0.0000], [0.0122, 0.1250, 0.3872], [0.3750, 0.9878, 0.1128], [0.7378, 0.6250, 0.6128], [0.8750, 0.2622, 0.8872]]
}

=====

Entry 9:
{
  "formula": "CuHgOs2",
  "functional": "meta-GGA SCAN",
  "state": "single point on PBEsol structure",
  "final_energy_ev_per_atom": -55.98,
  "density_g_cm3": 18.214,
  "ef_ev_per_fu": 3.19,
  "crystal_system": "tetragonal",
  "m_tot_mub_per_atom": 0.00,
  "lattice_angstrom": [[-1.9998, 1.9998, 3.6736], [1.9998, -1.9998, 3.6736], [1.9998, 1.9998, -3.6736]],
  "species": ["Cu", "Hg", "Os", "Os"],
  "frac_coords": [[0.0000, 0.0000, 0.0000], [0.7500, 0.2500, 0.5000], [0.2500, 0.7500, 0.5000], [0.5000, 0.5000, 0.0000]]
}

=====

Entry 10:
{
  "formula": "ReNi2Te",
  "functional": "meta-GGA SCAN",
  "state": "single point on PBEsol structure",
  "final_energy_ev_per_atom": -34.73,
  "density_g_cm3": 12.931,
  "crystal_system": "tetragonal",
  "formation_energy_uncorrected_mev_per_atom": 442.5,
  "m_tot_mub_per_atom": 0.00,
  "lattice_angstrom": [[-1.9446, 1.9446, 3.6608], [1.9446, -1.9446, 3.6608], [1.9446, 1.9446, -3.6608]],
  "species": ["Re", "Ni", "Ni", "Te"],
  "frac_coords": [[0.0000, 0.0000, 0.0000], [0.5000, 0.5000, 0.0000], [0.7500, 0.2500, 0.5000], [0.2500, 0.7500, 0.5000]]
}

=====

Entry 11:
{
  "formula": "CaYCd2",
  "functional": "meta-GGA SCAN",
  "state": "single point on PBEsol structure",
  "final_energy_ev_per_atom": -25.06,
  "density_g_cm3": 5.761,
  "ef_ev_per_fu": -1.90,
  "crystal_system": "cubic",
  "m_tot_mub_per_atom": 0.00,
  "lattice_angstrom": [[0.0000, 3.7081, 3.7081], [3.7081, 0.0000, 3.7081], [3.7081, 3.7081, 0.0000]],
  "species": ["Ca", "Y", "Cd", "Cd"],
  "frac_coords": [[0.0000, 0.0000, 0.0000], [0.5000, 0.5000, 0.5000], [0.2500, 0.2500, 0.2500], [0.7500, 0.7500, 0.7500]]
}

=====

Entry 12:
{
  "formula": "KSmO2",
  "functional": "meta-GGA SCAN",
  "state": "single point on PBEsol structure",
  "final_energy_ev_per_atom": -19.26,
  "density_g_cm3": 5.479,
  "crystal_system": "trigonal",
  "formation_energy_uncorrected_mev_per_atom": -2951.2,
  "m_tot_mub_per_atom": 0.01,
  "lattice_angstrom": [[1.7698, 1.0218, 6.1856], [-1.7698, 1.0218, 6.1856], [0.0000, -2.0436, 6.1856]],
  "species": ["K", "Sm", "O", "O"],
  "frac_coords": [[0.0000, 0.0000, 0.0000], [0.5000, 0.5000, 0.5000], [0.2301, 0.2301, 0.2301], [0.7699, 0.7699, 0.7699]]
}